[1]
VASP calculation (PBE) on a relaxed CdHgBr2 crystal.

a b c (Å): 5.8983 5.8983 4.3351
angles (deg): 110.92 110.92 89.39
With the nearest neighbours (Å) after each atom.
Fractional coordinates of all 4 atoms:
Cd 0.0000 0.0000 0.0000  4 Br 2.97
Hg 0.5000 0.5000 0.0000  4 Br 2.97
Br 0.0000 0.5000 0.5000  2 Hg 2.97, 2 Cd 2.97
Br 0.5000 0.0000 0.5000  2 Hg 2.97, 2 Cd 2.97

Properties
space-group type = C2/m, No. 12
ΔE to the lowest computed polymorph = 395 meV per atom
V = 32.6 Å³/atom
Fermi-level density of states = 2.13 states/eV/f.u.
magnetization = 0.00 μB/cell
formation energy (no corrections) = -0.2238 eV per atom
energy = -1.36 eV/atom

---

[2]
VASP calculation (PBE) on a relaxed NaPr2H6Ru crystal.

a b c (Å): 4.8193 4.8193 7.0446
angles (deg): 90.00 90.00 120.00
With the nearest neighbours (Å) after each atom.
Fractional coordinates of all 10 atoms:
Na 0.0000 0.0000 0.0000  6 H 2.89
Pr 0.3333 0.6667 0.2991  6 H 2.45
Pr 0.6667 0.3333 0.7009  6 H 2.45
H 0.1696 0.3392 0.6416  1 Ru 1.73
H 0.1696 0.8304 0.6416  1 Ru 1.73
H 0.3392 0.1696 0.3584  1 Ru 1.73
H 0.6608 0.8304 0.6416  1 Ru 1.73
H 0.8304 0.1696 0.3584  1 Ru 1.73
H 0.8304 0.6608 0.3584  1 Ru 1.73
Ru 0.0000 0.0000 0.5000  6 H 1.73

Properties
space-group type = P-3m1, No. 164
V = 14.2 Å³/atom
Fermi-level density of states = 2.82 states/eV/f.u.
magnetization = 0.00 μB/cell
energy = -4.39 eV/atom

---

[3]
VASP calculation (PBE) on a relaxed Ti3CuPd12 crystal.

a b c (Å): 3.9300 3.9300 15.6390
angles (deg): 90.00 90.00 90.00
With the nearest neighbours (Å) after each atom.
Fractional coordinates of all 16 atoms:
Ti 0.0000 0.0000 0.0000  12 Pd 2.77-2.78
Ti 0.0000 0.0000 0.2569  12 Pd 2.68-2.86
Ti 0.0000 0.0000 0.7431  12 Pd 2.68-2.86
Cu 0.0000 0.0000 0.5000  12 Pd 2.78-2.79
Pd 0.0000 0.5000 0.1244  8 Pd 2.77-2.78, 4 Ti 2.77-2.86
Pd 0.0000 0.5000 0.3737  2 Ti 2.68, 8 Pd 2.76-2.79, 2 Cu 2.79
Pd 0.0000 0.5000 0.6263  2 Ti 2.68, 8 Pd 2.76-2.79, 2 Cu 2.79
Pd 0.0000 0.5000 0.8756  8 Pd 2.77-2.78, 4 Ti 2.77-2.86
Pd 0.5000 0.0000 0.1244  8 Pd 2.77-2.78, 4 Ti 2.77-2.86
Pd 0.5000 0.0000 0.3737  2 Ti 2.68, 8 Pd 2.76-2.79, 2 Cu 2.79
Pd 0.5000 0.0000 0.6263  2 Ti 2.68, 8 Pd 2.76-2.79, 2 Cu 2.79
Pd 0.5000 0.0000 0.8756  8 Pd 2.77-2.78, 4 Ti 2.77-2.86
Pd 0.5000 0.5000 0.0000  8 Pd 2.77, 4 Ti 2.78
Pd 0.5000 0.5000 0.2493  8 Pd 2.76-2.77, 4 Ti 2.78
Pd 0.5000 0.5000 0.5000  4 Cu 2.78, 8 Pd 2.79
Pd 0.5000 0.5000 0.7507  8 Pd 2.76-2.77, 4 Ti 2.78

Properties
space-group type = P4/mmm, No. 123
V = 15.1 Å³/atom
Fermi-level density of states = 11.24 states/eV/f.u.
magnetization = 0.00 μB/cell
formation enthalpy at 0 K = -0.510 eV per atom
energy = -6.14 eV/atom

---

[4]
VASP calculation (PBE) on a relaxed Mg2MnCo crystal.

a b c (Å): 3.0273 3.0273 7.1358
angles (deg): 90.00 90.00 90.00
With the nearest neighbours (Å) after each atom.
Fractional coordinates of all 4 atoms:
Mg 0.0000 0.0000 0.0000  4 Co 2.73, 1 Mn 2.83, 4 Mg 3.03
Mg 0.5000 0.5000 0.3367  4 Mn 2.87, 4 Mg 3.03, 1 Co 3.03
Mn 0.0000 0.0000 0.6040  4 Co 2.42
Co 0.5000 0.5000 0.7617  4 Mn 2.42

Properties
space-group type = P4mm, No. 99
ΔE to the lowest computed polymorph = 0 meV per atom
V = 16.3 Å³/atom
Fermi-level density of states = 2.80 states/eV/f.u.
magnetization = 4.19 μB/cell
formation enthalpy at 0 K = 0.084 eV per atom
energy = -4.78 eV/atom

---

[5]
VASP calculation (PBE) on a relaxed Ca3InBi crystal.

a b c (Å): 5.9724 5.9724 5.9724
angles (deg): 90.00 90.00 90.00
With the nearest neighbours (Å) after each atom.
Fractional coordinates of all 5 atoms:
Ca 0.0000 0.0000 0.5000  2 Bi 2.99
Ca 0.0000 0.5000 0.0000  2 Bi 2.99
Ca 0.5000 0.0000 0.0000  2 Bi 2.99
In 0.5000 0.5000 0.5000  12 Ca 4.22
Bi 0.0000 0.0000 0.0000  6 Ca 2.99

Properties
space-group type = Pm-3m, No. 221
ΔE to the lowest computed polymorph = 339 meV per atom
V = 42.6 Å³/atom
Fermi-level density of states = 5.11 states/eV/f.u.
magnetization = 0.00 μB/cell
formation enthalpy at 0 K = -0.206 eV per atom
energy = -2.73 eV/atom

---

[6]
VASP calculation (PBE) on a relaxed Mg2CdF2 crystal.

a b c (Å): 7.7250 7.7250 2.8272
angles (deg): 90.00 90.00 90.00
With the nearest neighbours (Å) after each atom.
Fractional coordinates of all 10 atoms:
Mg 0.1278 0.3722 0.0000  4 F 2.28
Mg 0.3722 0.8722 0.0000  4 F 2.28
Mg 0.6278 0.1278 0.0000  4 F 2.28
Mg 0.8722 0.6278 0.0000  4 F 2.28
Cd 0.0000 0.0000 0.5000  2 Cd 2.83
Cd 0.5000 0.5000 0.5000  2 Cd 2.83
F 0.1031 0.6031 0.5000  1 F 2.25, 4 Mg 2.28
F 0.3969 0.1031 0.5000  1 F 2.25, 4 Mg 2.28
F 0.6031 0.8969 0.5000  1 F 2.25, 4 Mg 2.28
F 0.8969 0.3969 0.5000  1 F 2.25, 4 Mg 2.28

Properties
space-group type = P4/mbm, No. 127
ΔE to the lowest computed polymorph = 59 meV per atom
V = 16.9 Å³/atom
Fermi-level density of states = 1.24 states/eV/f.u.
magnetization = 0.00 μB/cell
formation energy (no corrections) = -1.4716 eV per atom
energy = -3.04 eV/atom

---

[7]
VASP calculation (PBE) on a relaxed Cs2HoAlSe4 crystal.

a b c (Å): 15.3142 13.7082 8.2024
angles (deg): 84.73 63.04 32.23
With the nearest neighbours (Å) after each atom.
Fractional coordinates of all 16 atoms:
Cs 0.0542 0.0542 0.6958  8 Se 3.85-4.16
Cs 0.3042 0.3042 0.9458  8 Se 3.85-4.16
Cs 0.6958 0.6958 0.0542  8 Se 3.85-4.16
Cs 0.9458 0.9458 0.3042  8 Se 3.85-4.16
Ho 0.1250 0.1250 0.1250  4 Se 2.69
Ho 0.8750 0.8750 0.8750  4 Se 2.69
Al 0.3750 0.3750 0.3750  4 Se 2.44
Al 0.6250 0.6250 0.6250  4 Se 2.44
Se 0.0085 0.6383 0.5503  1 Al 2.44, 1 Ho 2.69
Se 0.3030 0.5503 0.6383  1 Al 2.44, 1 Ho 2.69
Se 0.3617 0.9915 0.6970  1 Al 2.44, 1 Ho 2.69
Se 0.4497 0.6970 0.9915  1 Al 2.44, 1 Ho 2.69
Se 0.5503 0.3030 0.0085  1 Al 2.44, 1 Ho 2.69
Se 0.6383 0.0085 0.3030  1 Al 2.44, 1 Ho 2.69
Se 0.6970 0.4497 0.3617  1 Al 2.44, 1 Ho 2.69
Se 0.9915 0.3617 0.4497  1 Al 2.44, 1 Ho 2.69

Properties
space-group type = Fddd, No. 70
V = 40.4 Å³/atom
Fermi-level density of states = 0.00 states/eV/f.u.
magnetization = 0.00 μB/cell
formation energy (no corrections) = -1.3543 eV per atom
energy = -4.35 eV/atom

---

[8]
VASP calculation (PBE) on a relaxed UGaNi crystal.

a b c (Å): 4.3436 4.3436 4.3436
angles (deg): 60.00 60.00 60.00
With the nearest neighbours (Å) after each atom.
Fractional coordinates of all 3 atoms:
U 0.0000 0.0000 0.0000  4 Ni 2.66
Ga 0.5000 0.5000 0.5000  4 Ni 2.66
Ni 0.2500 0.2500 0.2500  4 U 2.66, 4 Ga 2.66

Properties
space-group type = F-43m, No. 216
V = 19.3 Å³/atom
Fermi-level density of states = 5.52 states/eV/f.u.
magnetization = 1.28 μB/cell
formation enthalpy at 0 K = -0.104 eV per atom
energy = -6.80 eV/atom

---

[9]
VASP calculation (PBE) on a relaxed Zr3PdRh2 crystal.

a b c (Å): 7.4703 7.4703 3.2638
angles (deg): 90.00 90.00 143.00
With the nearest neighbours (Å) after each atom.
Fractional coordinates of all 6 atoms:
Zr 0.0000 0.0000 0.0000  4 Rh 2.84, 4 Pd 2.88
Zr 0.3294 0.6706 0.0000  6 Rh 2.85-2.88, 2 Pd 2.92
Zr 0.6706 0.3294 0.0000  6 Rh 2.85-2.88, 2 Pd 2.92
Pd 0.5000 0.5000 0.5000  8 Zr 2.88-2.92
Rh 0.1643 0.8357 0.5000  8 Zr 2.84-2.88
Rh 0.8357 0.1643 0.5000  8 Zr 2.84-2.88

Properties
space-group type = Cmmm, No. 65
V = 18.3 Å³/atom
Fermi-level density of states = 5.10 states/eV/f.u.
magnetization = 0.00 μB/cell
formation enthalpy at 0 K = -0.700 eV per atom
energy = -8.29 eV/atom

---

[10]
VASP calculation (PBE) on a relaxed AgPd2Au crystal.

a b c (Å): 5.8728 5.8728 5.8728
angles (deg): 102.62 102.62 124.27
With the nearest neighbours (Å) after each atom.
Fractional coordinates of all 8 atoms:
Ag 0.0000 0.0000 0.0000  4 Pd 2.70, 2 Au 2.74
Ag 0.7500 0.2500 0.5000  4 Pd 2.70, 2 Au 2.74
Pd 0.1271 0.6250 0.0021  2 Au 2.67, 2 Ag 2.70, 2 Pd 2.74
Pd 0.3750 0.3771 0.5021  2 Au 2.67, 2 Ag 2.70, 2 Pd 2.74
Pd 0.6229 0.1250 0.9979  2 Au 2.67, 2 Ag 2.70, 2 Pd 2.74
Pd 0.8750 0.8729 0.4979  2 Au 2.67, 2 Ag 2.70, 2 Pd 2.74
Au 0.2500 0.7500 0.5000  4 Pd 2.67, 2 Ag 2.74
Au 0.5000 0.5000 0.0000  4 Pd 2.67, 2 Ag 2.74

Properties
space-group type = I-42d, No. 122
ΔE to the lowest computed polymorph = 345 meV per atom
V = 18.5 Å³/atom
Fermi-level density of states = 2.54 states/eV/f.u.
magnetization = 0.00 μB/cell
formation enthalpy at 0 K = 0.286 eV per atom
energy = -3.84 eV/atom